The following is a PBE calculation of Dy9Er3Tm2 after structural relaxation, from the Alexandria database.

Values from the calculation:
**ΔH_f (0 K)**: 0.0056 eV/atom
**Fermi-level density of states**: 26.214 states/eV/cell
**Symmetry**: P1
**E_tot**: -63.97 eV per cell

Unit cell a=6.6462 b=14.1283 c=13.6539 alpha=40.03 beta=39.52 gamma=35.35
Last column: nearest neighbours and their distance in Å.
Positions (direct):
Dy 0.5488 0.3678 0.4051  9 Dy 3.47-3.61, 2 Tm 3.60-3.61, 1 Er 3.60
Dy 0.6890 0.9397 0.6911  4 Er 3.48-3.61, 6 Dy 3.48-3.60, 2 Tm 3.59-3.60
Dy 0.4530 0.9891 0.3804  7 Dy 3.47-3.61, 4 Er 3.48-3.61, 1 Tm 3.48
Dy 0.8800 0.7039 0.2372  3 Er 3.46-3.59, 2 Tm 3.48, 7 Dy 3.49-3.61
Dy 0.5965 0.5595 0.6669  9 Dy 3.47-3.61, 1 Tm 3.48, 2 Er 3.60
Dy 0.1177 0.6544 0.5484  8 Dy 3.47-3.60, 2 Er 3.50-3.60, 2 Tm 3.60
Dy 0.0228 0.2744 0.5239  8 Dy 3.48-3.61, 1 Tm 3.49, 3 Er 3.50-3.60
Dy 0.8340 0.5121 0.9753  7 Dy 3.48-3.61, 3 Er 3.48-3.60, 2 Tm 3.60
Dy 0.3109 0.4166 0.0951  7 Dy 3.48-3.60, 3 Er 3.48-3.60, 2 Tm 3.48-3.49
Er 0.7390 0.1310 0.9525  3 Tm 3.47-3.48, 7 Dy 3.48-3.60, 2 Er 3.48-3.59
Er 0.9810 0.0822 0.2603  9 Dy 3.46-3.61, 1 Er 3.48, 2 Tm 3.58
Er 0.1597 0.8469 0.8111  2 Tm 3.45-3.47, 9 Dy 3.48-3.61, 1 Er 3.59
Tm 0.2636 0.2247 0.8340  4 Er 3.45-3.58, 7 Dy 3.48-3.60, 1 Tm 3.59
Tm 0.4040 0.7979 0.1188  3 Er 3.47-3.58, 8 Dy 3.48-3.61, 1 Tm 3.59